[1]
The following is a PBE calculation of crystalline CrIn2Pt9 at its relaxed geometry, from the Alexandria database.

Cell: 4.0016 4.0016 12.0266 Å, 90.00 90.00 90.00°
Element x y z (fractional)
1 Cr 0.0000 0.0000 0.0000
2 In 0.0000 0.0000 0.3304
3 In 0.0000 0.0000 0.6696
4 Pt 0.0000 0.5000 0.1560
5 Pt 0.0000 0.5000 0.5000
6 Pt 0.0000 0.5000 0.8440
7 Pt 0.5000 0.0000 0.1560
8 Pt 0.5000 0.0000 0.5000
9 Pt 0.5000 0.0000 0.8440
10 Pt 0.5000 0.5000 0.0000
11 Pt 0.5000 0.5000 0.3285
12 Pt 0.5000 0.5000 0.6715

Space group = No. 123
Crystal system = tetragonal
ΔH_f (0 K) = -4.1 eV/f.u.
Mass density = 17.57 g/cm³
D(E_F) = 13.18 states/eV per cell

[2]
The following is a PBE calculation of crystalline CrInPtRh at its relaxed geometry, from the Alexandria database.

Cell: 4.4959 4.4959 4.4959 Å, 60.00 60.00 60.00°
Element x y z (fractional)
1 Cr 0.0000 0.0000 0.0000
2 In 0.5000 0.5000 0.5000
3 Pt 0.2500 0.2500 0.2500
4 Rh 0.7500 0.7500 0.7500

Space group = No. 216
Crystal system = cubic
ΔH_f (0 K) = -0.9 eV/f.u.
Mass density = 12.01 g/cm³
D(E_F) = 2.52 states/eV per cell

[3]
The following is a PBE calculation of crystalline CrIn2SiPt at its relaxed geometry, from the Alexandria database.

Cell: 5.0468 5.0468 4.6386 Å, 90.00 90.00 90.00°
Element x y z (fractional)
1 Cr 0.0000 0.0000 0.0000
2 In 0.0000 0.5000 0.0000
3 In 0.5000 0.0000 0.0000
4 Si 0.5000 0.5000 0.5000
5 Pt 0.0000 0.0000 0.5000

Space group = No. 123
Crystal system = tetragonal
Formation energy from raw total energies = 0.8716 eV/atom
Mass density = 7.10 g/cm³
D(E_F) = 3.01 states/eV per cell

[4]
The following is a PBE calculation of crystalline Ta2CrInPt at its relaxed geometry, from the Alexandria database.

Cell: 4.5209 4.5209 4.8654 Å, 90.00 90.00 90.00°
Element x y z (fractional)
1 Ta 0.0000 0.5000 0.0000
2 Ta 0.5000 0.0000 0.0000
3 Cr 0.0000 0.0000 0.0000
4 In 0.0000 0.0000 0.5000
5 Pt 0.5000 0.5000 0.5000

Space group = No. 123
Crystal system = tetragonal
ΔH_f (0 K) = 4.5 eV/f.u.
Mass density = 12.09 g/cm³
D(E_F) = 4.89 states/eV per cell

[5]
The following is a PBE calculation of crystalline YCrIn2Pt at its relaxed geometry, from the Alexandria database.

Cell: 5.6330 5.6330 4.7919 Å, 90.00 90.00 90.00°
Element x y z (fractional)
1 Y 0.0000 0.0000 0.0000
2 Cr 0.0000 0.0000 0.5000
3 In 0.0000 0.5000 0.0000
4 In 0.5000 0.0000 0.0000
5 Pt 0.5000 0.5000 0.5000

Space group = No. 123
Crystal system = tetragonal
ΔH_f (0 K) = 7.5 eV/f.u.
Mass density = 6.18 g/cm³
D(E_F) = 4.14 states/eV per cell

[6]
The following is a PBE calculation of crystalline ZnCrInPt at its relaxed geometry, from the Alexandria database.

Cell: 4.5152 4.5152 4.5152 Å, 60.00 60.00 60.00°
Element x y z (fractional)
1 Zn 0.0000 0.0000 0.0000
2 Cr 0.7500 0.7500 0.7500
3 In 0.5000 0.5000 0.5000
4 Pt 0.2500 0.2500 0.2500

Space group = No. 216
Crystal system = cubic
ΔH_f (0 K) = -0.5 eV/f.u.
Mass density = 10.90 g/cm³
D(E_F) = 2.39 states/eV per cell

[7]
The following is a PBE calculation of crystalline ZnCrInPt2 at its relaxed geometry, from the Alexandria database.

Cell: 4.6391 4.6391 4.7056 Å, 90.00 90.00 90.00°
Element x y z (fractional)
1 Zn 0.0000 0.0000 0.0000
2 Cr 0.0000 0.0000 0.5000
3 In 0.5000 0.5000 0.0000
4 Pt 0.0000 0.5000 0.5000
5 Pt 0.5000 0.0000 0.5000

Space group = No. 123
Crystal system = tetragonal
ΔH_f (0 K) = 3.1 eV/f.u.
Mass density = 10.21 g/cm³
D(E_F) = 4.61 states/eV per cell

[8]
The following is a PBE calculation of crystalline PuCrInRu at its relaxed geometry, from the Alexandria database.

Cell: 4.6902 4.6902 4.6902 Å, 60.00 60.00 60.00°
Element x y z (fractional)
1 Pu 0.0000 0.0000 0.0000
2 Cr 0.2500 0.2500 0.2500
3 In 0.5000 0.5000 0.5000
4 Ru 0.7500 0.7500 0.7500

Space group = No. 216
Crystal system = cubic
ΔH_f (0 K) = 0.5 eV/f.u.
Mass density = 11.65 g/cm³
D(E_F) = 4.81 states/eV per cell

| no. | electronic total energy (eV per atom) |
| --- | --- |
| 1 | -6.13 |
| 2 | -6.67 |
| 3 | -4.44 |
| 4 | -7.52 |
| 5 | -4.01 |
| 6 | -5.05 |
| 7 | -4.52 |
| 8 | -8.86 |